1.
# Sr2TlSiPb

An optimized crystal structure of Sr2TlSiPb (GGA-PBE, the Alexandria database).

```
Sr2TlSiPb
1.0
6.041 0.000 0.000
0.000 6.041 0.000
0.000 0.000 5.151
Sr Tl Si Pb
2 1 1 1
direct
0.000 0.500 0.000
0.500 0.000 0.000
0.000 0.000 0.500
0.000 0.000 0.000
0.500 0.500 0.500
```

* energy relative to the elements, uncorrected: -22 kJ/mol of formula units
* Fermi-level density of states: 6.23 states/eV per cell
* space group: P4/mmm (123)

2.
# Bi3OsN

An optimized crystal structure of Bi3OsN (GGA-PBE, the Alexandria database).

```
Bi3OsN
1.0
5.252 0.000 0.000
0.000 5.252 0.000
0.000 0.000 5.252
Bi Os N
3 1 1
direct
0.000 0.000 0.500
0.000 0.500 0.000
0.500 0.000 0.000
0.000 0.000 0.000
0.500 0.500 0.500
```

* energy relative to the elements, uncorrected: 831 kJ/mol of formula units
* Fermi-level density of states: 5.30 states/eV per cell
* space group: Pm-3m (221)

3.
# ThBiRu2

An optimized crystal structure of ThBiRu2 (GGA-PBE, the Alexandria database).

```
ThBiRu2
1.0
2.318 1.339 6.167
-2.318 1.339 6.167
0.000 -2.677 6.167
Th Bi Ru
1 1 2
direct
0.000 0.000 0.000
0.500 0.500 0.500
0.362 0.362 0.362
0.638 0.638 0.638
```

* Fermi-level density of states: 3.05 states/eV per cell
* energy of formation: 86 kJ/mol of formula units
* space group: R-3m (166)

4.
# Ba2AsO

An optimized crystal structure of Ba2AsO (GGA-PBE, the Alexandria database).

```
Ba2AsO
1.0
2.080 1.201 7.727
-2.080 1.201 7.727
0.000 -2.402 7.727
Ba As O
2 1 1
direct
0.234 0.234 0.234
0.766 0.766 0.766
0.000 0.000 0.000
0.500 0.500 0.500
```

* energy relative to the elements, uncorrected: -591 kJ/mol of formula units
* Fermi-level density of states: 2.00 states/eV per cell
* space group: R-3m (166)